DFT (PBE+U) results for crystalline Li2Bi2MoO6 at its relaxed geometry.

Results
Crystal system: trigonal
Total energy, eV/f.u.: -63.7
V, Å³/cell: 156.92

Cell and atoms, written as POSCAR:
```
Li2Bi2MoO6
1.0
5.892 0.000 0.000
2.946 5.103 0.000
2.946 1.701 5.219
O Bi Mo Li
6 2 1 2
Direct
0.239 0.239 0.733 O
0.761 0.211 0.267 O
0.789 0.239 0.733 O
0.761 0.761 0.267 O
0.239 0.789 0.733 O
0.211 0.761 0.267 O
0.808 0.808 0.576 Bi
0.192 0.192 0.424 Bi
0.000 0.000 0.000 Mo
0.417 0.417 0.749 Li
0.583 0.583 0.251 Li
```